--- a ---
An optimized crystal structure of Al2VIr. Source: the Alexandria database, functional GGA-PBE.

Output
* calculated volume: 56.8 Å³/f.u.
* Fermi-level density of states: 1.225 states/eV/f.u.

extended XYZ file:
```
4
Lattice="2.896 0.000 0.000 0.000 2.896 0.000 0.000 0.000 6.773" Properties=species:S:1:pos:R:3 pbc="T T T"
Al 0.000 0.000 1.579
Al 0.000 0.000 5.195
V 1.448 1.448 3.387
Ir 1.448 1.448 0.000
```

=====

--- b ---
An optimized crystal structure of Al2VIr. Source: the Alexandria database, functional GGA-PBE.

Output
* calculated volume: 63.7 Å³/f.u.
* Fermi-level density of states: 2.716 states/eV/f.u.

extended XYZ file:
```
8
Lattice="-3.475 3.475 2.638 3.475 -3.475 2.638 3.475 3.475 -2.638" Properties=species:S:1:pos:R:3 pbc="T T T"
Al 5.213 1.587 -0.660
Al 1.587 1.738 0.660
Al -1.738 1.889 1.979
Al 1.889 1.738 3.298
V 3.475 0.000 1.319
V 0.000 0.000 2.638
Ir 0.000 0.000 0.000
Ir 0.000 3.475 1.319
```

=====

--- c ---
An optimized crystal structure of Al2VIr. Source: the Alexandria database, functional GGA-PBE.

Output
* calculated volume: 57.6 Å³/f.u.
* Fermi-level density of states: 2.850 states/eV/f.u.

extended XYZ file:
```
4
Lattice="4.394 -1.407 0.000 4.394 1.407 0.000 -1.021 0.000 4.655" Properties=species:S:1:pos:R:3 pbc="T T T"
Al 1.899 0.000 1.144
Al 5.869 0.000 3.512
V -0.511 0.000 2.328
Ir 4.394 0.000 0.000
```

=====

--- d ---
An optimized crystal structure of Al2VIr. Source: the Alexandria database, functional GGA-PBE.

Output
* calculated volume: 56.8 Å³/f.u.
* Fermi-level density of states: 2.328 states/eV/f.u.

extended XYZ file:
```
4
Lattice="0.000 3.050 3.050 3.050 0.000 3.050 3.050 3.050 0.000" Properties=species:S:1:pos:R:3 pbc="T T T"
Al 1.525 1.525 1.525
Al 4.575 4.575 4.575
V 0.000 0.000 0.000
Ir 3.050 3.050 3.050
```

=====

Calculated relative energies: a 0.039; b 0.619; c 0.193; d 0.000, given in eV/atom

=====

--- a ---
An optimized crystal structure of Al2VIr2. Source: the Alexandria database, functional GGA-PBE.

Output
* calculated volume: 74.6 Å³/f.u.
* Fermi-level density of states: 4.584 states/eV/f.u.

extended XYZ file:
```
10
Lattice="7.225 0.000 0.000 0.000 7.225 0.000 0.000 0.000 2.859" Properties=species:S:1:pos:R:3 pbc="T T T"
Al 1.103 2.510 0.000
Al 2.510 6.123 0.000
Al 4.715 1.103 0.000
Al 6.123 4.715 0.000
V 0.000 0.000 1.430
V 3.613 3.613 1.430
Ir 1.051 4.663 1.430
Ir 2.562 1.051 1.430
Ir 4.663 6.174 1.430
Ir 6.174 2.562 1.430
```

=====

--- b ---
An optimized crystal structure of Al2VIr2. Source: the Alexandria database, functional GGA-PBE.

Output
* calculated volume: 73.1 Å³/f.u.
* Fermi-level density of states: 3.350 states/eV/f.u.

extended XYZ file:
```
10
Lattice="7.233 0.000 0.000 0.000 7.233 0.000 0.000 0.000 2.794" Properties=species:S:1:pos:R:3 pbc="T T T"
Al 0.947 2.669 0.000
Al 2.669 6.285 0.000
Al 4.564 0.947 0.000
Al 6.285 4.564 0.000
V 0.000 0.000 0.000
V 3.616 3.616 0.000
Ir 1.212 4.828 1.397
Ir 2.405 1.212 1.397
Ir 4.828 6.021 1.397
Ir 6.021 2.405 1.397
```

=====

Calculated relative energies: a 0.078; b 0.000, given in eV/atom

=====

--- a ---
An optimized crystal structure of AlVIr3. Source: the Alexandria database, functional GGA-PBE.

Output
* calculated volume: 92.0 Å³/f.u.
* Fermi-level density of states: 4.798 states/eV/f.u.

extended XYZ file:
```
5
Lattice="4.515 0.000 0.000 0.000 4.515 0.000 0.000 0.000 4.515" Properties=species:S:1:pos:R:3 pbc="T T T"
Al 0.000 0.000 0.000
V 2.258 2.258 2.258
Ir 0.000 2.258 2.258
Ir 2.258 0.000 2.258
Ir 2.258 2.258 0.000
```

=====

--- b ---
An optimized crystal structure of AlVIr3. Source: the Alexandria database, functional GGA-PBE.

Output
* calculated volume: 86.3 Å³/f.u.
* Fermi-level density of states: 7.169 states/eV/f.u.

extended XYZ file:
```
5
Lattice="4.419 0.000 0.000 0.000 4.419 0.000 0.000 0.000 4.419" Properties=species:S:1:pos:R:3 pbc="T T T"
Al 0.000 0.000 0.000
V 2.210 2.210 2.210
Ir 0.000 0.000 2.210
Ir 0.000 2.210 0.000
Ir 2.210 0.000 0.000
```

=====

Calculated relative energies: a 0.126; b 0.000, given in eV/atom

=====

--- a ---
An optimized crystal structure of YAl3Ir. Source: the Alexandria database, functional GGA-PBE.

Output
* calculated volume: 95.3 Å³/f.u.
* Fermi-level density of states: 3.402 states/eV/f.u.

extended XYZ file:
```
10
Lattice="6.238 0.000 0.000 -3.119 5.402 0.000 0.000 0.000 5.653" Properties=species:S:1:pos:R:3 pbc="T T T"
Y 0.000 3.601 1.413
Y 3.119 1.801 4.240
Al 0.000 2.059 4.240
Al -1.336 4.373 4.240
Al 1.783 1.029 1.413
Al 1.336 4.373 4.240
Al 4.455 1.029 1.413
Al 3.119 3.343 1.413
Ir 0.000 0.000 0.000
Ir 0.000 0.000 2.827
```

=====

--- b ---
An optimized crystal structure of YAl3Ir. Source: the Alexandria database, functional GGA-PBE.

Output
* calculated volume: 138.2 Å³/f.u.
* Fermi-level density of states: 6.491 states/eV/f.u.

extended XYZ file:
```
5
Lattice="5.171 0.000 0.000 0.000 5.171 0.000 0.000 0.000 5.171" Properties=species:S:1:pos:R:3 pbc="T T T"
Y 0.000 0.000 0.000
Al 0.000 0.000 2.585
Al 0.000 2.585 0.000
Al 2.585 0.000 0.000
Ir 2.585 2.585 2.585
```

=====

Calculated relative energies: a 0.000; b 2.448, given in eV/atom

=====

--- a ---
An optimized crystal structure of YAl3Ir. Source: the Alexandria database, functional GGA-PBE.

Output
* calculated volume: 94.8 Å³/f.u.
* Fermi-level density of states: 2.403 states/eV/f.u.

extended XYZ file:
```
10
Lattice="6.868 0.000 0.000 0.000 4.141 0.000 -1.822 0.000 6.669" Properties=species:S:1:pos:R:3 pbc="T T T"
Y 1.059 1.035 1.149
Y 3.987 3.105 5.521
Al -0.639 1.035 4.327
Al 0.680 3.105 6.020
Al 1.452 3.105 3.451
Al 3.594 1.035 3.218
Al 4.366 1.035 0.650
Al 5.685 3.105 2.342
Ir 1.767 1.035 4.923
Ir 3.280 3.105 1.747
```

=====

--- b ---
An optimized crystal structure of YAl3Ir. Source: the Alexandria database, functional GGA-PBE.

Output
* calculated volume: 105.9 Å³/f.u.
* Fermi-level density of states: 4.314 states/eV/f.u.

extended XYZ file:
```
5
Lattice="4.731 0.000 0.000 0.000 4.731 0.000 0.000 0.000 4.731" Properties=species:S:1:pos:R:3 pbc="T T T"
Y 0.000 0.000 0.000
Al 0.000 2.366 2.366
Al 2.366 0.000 2.366
Al 2.366 2.366 0.000
Ir 2.366 2.366 2.366
```

=====

Calculated relative energies: a 0.000; b 0.374, given in eV/atom

=====

--- a ---
An optimized crystal structure of Al2Zn2Ir. Source: the Alexandria database, functional GGA-PBE.

Output
* calculated volume: 79.4 Å³/f.u.
* Fermi-level density of states: 2.988 states/eV/f.u.

extended XYZ file:
```
10
Lattice="6.523 0.000 0.000 0.000 6.523 0.000 0.000 0.000 3.731" Properties=species:S:1:pos:R:3 pbc="T T T"
Al 0.959 2.303 0.000
Al 2.303 5.564 0.000
Al 4.220 0.959 0.000
Al 5.564 4.220 0.000
Zn 1.006 4.267 1.866
Zn 2.256 1.006 1.866
Zn 4.267 5.517 1.866
Zn 5.517 2.256 1.866
Ir 0.000 0.000 0.000
Ir 3.261 3.261 0.000
```

=====

--- b ---
An optimized crystal structure of Al2Zn2Ir. Source: the Alexandria database, functional GGA-PBE.

Output
* calculated volume: 74.4 Å³/f.u.
* Fermi-level density of states: 2.277 states/eV/f.u.

extended XYZ file:
```
10
Lattice="6.699 0.000 0.000 0.000 6.699 0.000 0.000 0.000 3.315" Properties=species:S:1:pos:R:3 pbc="T T T"
Al 1.169 2.181 0.000
Al 2.181 5.531 0.000
Al 4.518 1.169 0.000
Al 5.531 4.518 0.000
Zn 0.859 4.209 1.658
Zn 2.491 0.859 1.658
Zn 4.209 5.840 1.658
Zn 5.840 2.491 1.658
Ir 0.000 0.000 1.658
Ir 3.350 3.350 1.658
```

=====

Calculated relative energies: a 0.000; b 0.028, given in eV/atom